[1]
Below is crystalline HRu3W at its relaxed geometry, with properties calculated at the PBE level.

Calculated values
The calculation puts the final energy at -8.772 eV per atom. As for the space group: P2_1/c (14).

Unit cell a=7.1592 b=4.8902 c=7.1505 alpha=90.00 beta=103.20 gamma=90.00
Atoms (fractional coordinates):
H1 0.2356 0.0929 0.1242
H2 0.2356 0.4071 0.6242
H3 0.7644 0.5929 0.3758
H4 0.7644 0.9071 0.8758
Ru1 0.0486 0.6001 0.6914
Ru2 0.0486 0.8999 0.1914
Ru3 0.1857 0.0575 0.5572
Ru4 0.1857 0.4425 0.0572
Ru5 0.4429 0.0907 0.3195
Ru6 0.4429 0.4093 0.8195
Ru7 0.5571 0.5907 0.1805
Ru8 0.5571 0.9093 0.6805
Ru9 0.8143 0.5575 0.9428
Ru10 0.8143 0.9425 0.4428
Ru11 0.9514 0.1001 0.8086
Ru12 0.9514 0.3999 0.3086
W1 0.3149 0.5987 0.4224
W2 0.3149 0.9013 0.9224
W3 0.6851 0.0987 0.0776
W4 0.6851 0.4013 0.5776



[2]
Below is crystalline HRu3W at its relaxed geometry, with properties calculated at the PBE level.

Calculated values
The calculation puts the final energy at -8.465 eV per atom. As for the space group: R-3 (148).

Unit cell a=7.1886 b=7.1886 c=7.1886 alpha=38.78 beta=38.78 gamma=38.78
Atoms (fractional coordinates):
H1 0.1633 0.1633 0.1633
H2 0.8367 0.8367 0.8367
Ru1 0.1121 0.4544 0.7584
Ru2 0.2416 0.8879 0.5456
Ru3 0.4544 0.7584 0.1121
Ru4 0.5456 0.2416 0.8879
Ru5 0.7584 0.1121 0.4544
Ru6 0.8879 0.5456 0.2416
W1 0.3336 0.3336 0.3336
W2 0.6664 0.6664 0.6664



[3]
Below is crystalline HRu3W at its relaxed geometry, with properties calculated at the PBE level.

Calculated values
The calculation puts the final energy at -7.806 eV per atom. As for the space group: P4mm (99).

Unit cell a=3.7724 b=3.7724 c=5.8993 alpha=90.00 beta=90.00 gamma=90.00
Atoms (fractional coordinates):
H1 0.0000 0.0000 0.0000
Ru1 0.0000 0.5000 0.9245
Ru2 0.5000 0.0000 0.9245
Ru3 0.5000 0.5000 0.2448
W1 0.5000 0.5000 0.6412



[4]
Below is crystalline HRu3W at its relaxed geometry, with properties calculated at the PBE level.

Calculated values
The calculation puts the final energy at -8.583 eV per atom. As for the space group: C2/c (15).

Unit cell a=7.0353 b=7.0353 c=5.5382 alpha=101.38 beta=101.38 gamma=72.85
Atoms (fractional coordinates):
H1 0.0292 0.7422 0.6842
H2 0.2578 0.9708 0.8158
H3 0.7422 0.0292 0.1842
H4 0.9708 0.2578 0.3158
Ru1 0.1295 0.1396 0.0686
Ru2 0.1396 0.1295 0.5686
Ru3 0.1608 0.4720 0.4082
Ru4 0.1694 0.4789 0.9146
Ru5 0.4720 0.1608 0.9082
Ru6 0.4789 0.1694 0.4146
Ru7 0.5211 0.8306 0.5854
Ru8 0.5280 0.8392 0.0918
Ru9 0.8306 0.5211 0.0854
Ru10 0.8392 0.5280 0.5918
Ru11 0.8604 0.8705 0.4314
Ru12 0.8705 0.8604 0.9314
W1 0.2131 0.7869 0.2500
W2 0.4611 0.5389 0.7500
W3 0.5389 0.4611 0.2500
W4 0.7869 0.2131 0.7500



[5]
Below is crystalline HRu3W at its relaxed geometry, with properties calculated at the PBE level.

Calculated values
The calculation puts the final energy at -8.854 eV per atom. As for the space group: Cmm2 (35).

Unit cell a=5.2233 b=5.2233 c=4.8511 alpha=90.00 beta=90.00 gamma=115.47
Atoms (fractional coordinates):
H1 0.1308 0.8692 0.0000
H2 0.8692 0.1308 0.0000
Ru1 0.0000 0.0000 0.6654
Ru2 0.0000 0.5000 0.8292
Ru3 0.2539 0.2539 0.1770
Ru4 0.5000 0.0000 0.8292
Ru5 0.5000 0.5000 0.6745
Ru6 0.7461 0.7461 0.1770
W1 0.2547 0.7453 0.3531
W2 0.7453 0.2547 0.3531



[6]
Below is crystalline HRu3W at its relaxed geometry, with properties calculated at the PBE level.

Calculated values
The calculation puts the final energy at -8.248 eV per atom. As for the space group: I-4m2 (119).

Unit cell a=6.0345 b=6.0345 c=6.0345 alpha=129.01 beta=129.01 gamma=74.99
Atoms (fractional coordinates):
H1 0.0000 0.0000 0.0000
H2 0.7500 0.2500 0.5000
Ru1 0.3719 0.1214 0.2505
Ru2 0.3753 0.3753 0.0000
Ru3 0.6247 0.6247 0.0000
Ru4 0.8708 0.1214 0.7495
Ru5 0.8786 0.1292 0.2505
Ru6 0.8786 0.6281 0.7495
W1 0.1130 0.6130 0.5000
W2 0.3870 0.8870 0.5000